# 1
Computed, not measured: Cr2TcAs after structural relaxation at the PBE level of DFT.

Space-group type: I-42d (122)
DOS at the Fermi energy, states/eV per atom: 0.92
Formation enthalpy at 0 K, eV per atom: 0.558
Crystal system: tetragonal

Unit cell a=5.4518 b=5.4518 c=5.4518 alpha=103.51 beta=103.51 gamma=122.20
Last column: nearest neighbours and their distance in Å.
Element x y z (fractional)
Cr1 0.1200 0.6250 0.9950  2 Tc 2.45, 2 As 2.50, 2 Cr 2.64
Cr2 0.3750 0.3700 0.4950  2 Tc 2.45, 2 As 2.50, 2 Cr 2.64
Cr3 0.6300 0.1250 0.0050  2 Tc 2.45, 2 As 2.50, 2 Cr 2.64
Cr4 0.8750 0.8800 0.5050  2 Tc 2.45, 2 As 2.50, 2 Cr 2.64
Tc1 0.0000 0.0000 0.0000  4 Cr 2.45, 2 As 2.63
Tc2 0.7500 0.2500 0.5000  4 Cr 2.45, 2 As 2.63
As1 0.2500 0.7500 0.5000  4 Cr 2.50, 2 Tc 2.63
As2 0.5000 0.5000 0.0000  4 Cr 2.50, 2 Tc 2.63



# 2
Computed, not measured: CrTc2As after structural relaxation at the PBE level of DFT.

Space-group type: Pmmm (47)
DOS at the Fermi energy, states/eV per atom: 0.97
Formation enthalpy at 0 K, eV per atom: 0.174
Crystal system: orthorhombic

Unit cell a=3.0280 b=4.1181 c=4.5034 alpha=90.00 beta=90.00 gamma=90.00
Last column: nearest neighbours and their distance in Å.
Element x y z (fractional)
Cr1 0.0000 0.0000 0.0000  4 Tc 2.56, 4 As 2.71
Tc1 0.0000 0.5000 0.5000  4 As 2.56, 4 Tc 2.71
Tc2 0.5000 0.5000 0.0000  4 Cr 2.56, 4 Tc 2.71
As1 0.5000 0.0000 0.5000  4 Tc 2.56, 4 Cr 2.71



# 3
Computed, not measured: CrTc2As after structural relaxation at the PBE level of DFT.

Space-group type: P4/mmm (123)
DOS at the Fermi energy, states/eV per atom: 0.91
Formation enthalpy at 0 K, eV per atom: 0.009
Crystal system: tetragonal

Unit cell a=4.2909 b=4.2909 c=3.0171 alpha=90.00 beta=90.00 gamma=90.00
Last column: nearest neighbours and their distance in Å.
Element x y z (fractional)
Cr1 0.0000 0.0000 0.0000  8 Tc 2.62
Tc1 0.0000 0.5000 0.5000  4 Cr 2.62, 4 As 2.62
Tc2 0.5000 0.0000 0.5000  4 Cr 2.62, 4 As 2.62
As1 0.5000 0.5000 0.0000  8 Tc 2.62



| no. | magnetization (Bohr magnetons per cell) |
| --- | --- |
| 1 | 7.693 |
| 2 | 0.482 |
| 3 | 1.321 |